Below is TaCrIn3 after structural relaxation, with properties calculated at the GGA-PBE level.

Cell and atoms, written as POSCAR:
```
TaCrIn3
1.0
4.963 0.000 0.000
0.000 4.963 0.000
0.000 0.000 4.963
Ta Cr In
1 1 3
Cartesian
0.000 0.000 0.000 Ta
2.482 2.482 2.482 Cr
0.000 2.482 2.482 In
2.482 0.000 2.482 In
2.482 2.482 0.000 In
```

Polymorph energy (0 for the lowest one)   0.000 eV/atom
Magnetic moment   3.71 μB/f.u.
Formation energy from the elements   1244 meV/atom

=====

Below is TaCr4In after structural relaxation, with properties calculated at the GGA-PBE level.

Cell and atoms, written as POSCAR:
```
TaCr4In
1.0
0.000 3.483 3.483
3.483 0.000 3.483
3.483 3.483 0.000
Ta Cr In
1 4 1
Cartesian
0.000 0.000 0.000 Ta
2.618 2.618 2.618 Cr
4.348 4.348 2.618 Cr
4.348 2.618 4.348 Cr
2.618 4.348 4.348 Cr
5.225 5.225 5.225 In
```

Magnetic moment   0.00 μB/f.u.
Formation energy from the elements   82 meV/atom

=====

Below is TaCr2In after structural relaxation, with properties calculated at the GGA-PBE level.

Cell and atoms, written as POSCAR:
```
TaCr2In
1.0
5.609 0.000 0.000
0.000 8.668 0.000
-0.941 0.000 2.583
Ta Cr In
2 4 2
Cartesian
0.000 0.000 0.000 Ta
2.804 4.334 0.000 Ta
0.932 2.167 1.291 Cr
0.932 6.501 1.291 Cr
3.736 2.167 1.291 Cr
3.736 6.501 1.291 Cr
0.000 4.334 0.000 In
2.804 0.000 0.000 In
```

Magnetic moment   0.00 μB/f.u.
Formation energy from the elements   468 meV/atom